Record 1
Density functional theory data (PBE) for crystalline Ba3Tl9Ag2 at its relaxed geometry.

The structure in POSCAR format:
```
Ba3Tl9Ag2
1.0
-2.582 5.832 7.366
2.582 -5.832 7.366
2.582 5.832 -7.366
Ba Tl Ag
3 9 2
Direct
0.000 0.000 0.000
0.312 0.312 0.000
0.688 0.688 0.000
0.026 0.660 0.366
0.147 0.867 0.280
0.294 0.660 0.634
0.413 0.133 0.280
0.500 0.000 0.500
0.587 0.867 0.720
0.706 0.340 0.366
0.853 0.133 0.720
0.974 0.340 0.634
0.295 0.500 0.795
0.705 0.500 0.205
```

density = 9.24 Mg/m³
total energy = -2.56 eV/atom
symmetry = Immm (71)
DFT formation energy = -223 meV per atom

Record 2
Density functional theory data (PBE) for crystalline SrSb2CN at its relaxed geometry.

The structure in POSCAR format:
```
SrSb2CN
1.0
4.633 0.000 0.000
0.000 4.633 0.000
0.000 0.000 4.821
Sr Sb C N
1 2 1 1
Direct
0.000 0.000 0.000
0.000 0.500 0.500
0.500 0.000 0.500
0.500 0.500 0.000
0.500 0.500 0.500
```

uncorrected formation energy = 1248 meV per atom
density = 5.73 Mg/m³
total energy = -4.25 eV/atom
symmetry = P4/mmm (123)

Record 3
Density functional theory data (PBE) for crystalline LaTmZn2Pd5 at its relaxed geometry.

The structure in POSCAR format:
```
LaTmZn2Pd5
1.0
4.206 0.000 0.000
0.000 4.206 0.000
0.000 0.000 9.410
La Tm Zn Pd
1 1 2 5
Direct
0.000 0.000 0.000
0.000 0.000 0.500
0.500 0.500 0.374
0.500 0.500 0.626
0.000 0.500 0.231
0.000 0.500 0.769
0.500 0.000 0.231
0.500 0.000 0.769
0.500 0.500 0.000
```

density = 9.68 Mg/m³
total energy = -4.87 eV/atom
symmetry = P4/mmm (123)
DFT formation energy = -655 meV per atom

Record 4
Density functional theory data (PBE) for crystalline TiBeRu at its relaxed geometry.

The structure in POSCAR format:
```
TiBeRu
1.0
3.085 0.000 0.000
0.000 3.085 0.000
0.000 0.000 8.150
Ti Be Ru
2 2 2
Direct
0.000 0.000 0.000
0.500 0.500 0.500
0.000 0.000 0.679
0.500 0.500 0.179
0.000 0.000 0.322
0.500 0.500 0.822
```

density = 6.76 Mg/m³
total energy = -7.42 eV/atom
symmetry = I4mm (107)
DFT formation energy = -452 meV per atom